[1]
A plane-wave DFT calculation with PBE was carried out for LiHgMo2 after structural relaxation.

Calculated values
* symmetry: Pmm2 (25)
* volume: 67.32 Å³/cell
* DOS at the Fermi energy: 0.698 states/eV per atom
* formation energy from the elements: 0.372 eV per atom

The structure in POSCAR format:
```
LiHgMo2
1.0
2.677 0.000 0.000
0.000 4.244 0.000
0.000 0.000 5.925
Li Hg Mo
1 1 2
direct
0.000 0.000 0.000
0.500 0.500 0.783
0.000 0.000 0.483
0.500 0.500 0.275
```


[2]
A plane-wave DFT calculation with PBE was carried out for In2PtSe after structural relaxation.

Calculated values
* symmetry: R-3m (166)
* formation energy from raw total energies: -32.9 kJ per mole of atoms
* volume: 91.73 Å³/cell
* DOS at the Fermi energy: 0.497 states/eV per atom

The structure in POSCAR format:
```
In2PtSe
1.0
1.965 1.135 6.858
-1.965 1.135 6.858
0.000 -2.269 6.858
In Pt Se
2 1 1
direct
0.242 0.242 0.242
0.758 0.758 0.758
0.500 0.500 0.500
0.000 0.000 0.000
```


[3]
A plane-wave DFT calculation with PBE was carried out for Ca3Zr2N4 after structural relaxation.

Calculated values
* symmetry: C2/c (15)
* formation energy from raw total energies: -107.8 kJ per mole of atoms
* volume: 386.29 Å³/cell
* DOS at the Fermi energy: 0.192 states/eV per atom
* ΔE to the lowest computed polymorph: 0.081 eV/atom

The structure in POSCAR format:
```
Ca3Zr2N4
1.0
8.430 -3.557 0.000
8.430 3.557 0.000
-0.712 0.000 6.441
Ca Zr N
6 4 8
direct
0.088 0.912 0.750
0.247 0.490 0.431
0.490 0.247 0.931
0.510 0.753 0.069
0.753 0.510 0.569
0.912 0.088 0.250
0.070 0.299 0.058
0.299 0.070 0.558
0.701 0.930 0.442
0.930 0.701 0.942
0.039 0.240 0.353
0.184 0.433 0.090
0.240 0.039 0.853
0.433 0.184 0.590
0.567 0.816 0.410
0.760 0.961 0.147
0.816 0.567 0.910
0.961 0.760 0.647
```


[4]
A plane-wave DFT calculation with PBE was carried out for TmAs2Rh5Pb after structural relaxation.

Calculated values
* symmetry: P4/mmm (123)
* volume: 153.95 Å³/cell
* DOS at the Fermi energy: 0.550 states/eV per atom
* formation energy from the elements: -0.534 eV per atom

The structure in POSCAR format:
```
TmAs2Rh5Pb
1.0
4.182 0.000 0.000
0.000 4.182 0.000
0.000 0.000 8.804
Tm As Rh Pb
1 2 5 1
direct
0.000 0.000 0.000
0.500 0.500 0.141
0.500 0.500 0.859
0.000 0.500 0.269
0.000 0.500 0.731
0.500 0.000 0.269
0.500 0.000 0.731
0.500 0.500 0.500
0.000 0.000 0.500
```


[5]
A plane-wave DFT calculation with PBE was carried out for Er6Bi2TeAs3 after structural relaxation.

Calculated values
* symmetry: C2/m (12)
* formation energy from raw total energies: -121.1 kJ per mole of atoms
* volume: 323.61 Å³/cell
* DOS at the Fermi energy: 0.193 states/eV per atom

The structure in POSCAR format:
```
Er6Bi2TeAs3
1.0
9.274 -2.108 0.000
9.274 2.108 0.000
-2.105 0.000 8.275
Er Bi Te As
6 2 1 3
direct
0.005 0.005 0.233
0.327 0.327 0.430
0.339 0.339 0.903
0.661 0.661 0.097
0.673 0.673 0.570
0.995 0.995 0.767
0.166 0.166 0.832
0.834 0.834 0.168
0.500 0.500 0.500
0.166 0.166 0.334
0.500 0.500 0.000
0.834 0.834 0.666
```


[6]
A plane-wave DFT calculation with PBE was carried out for SrY2Zn after structural relaxation.

Calculated values
* symmetry: P4/mmm (123)
* volume: 121.12 Å³/cell
* DOS at the Fermi energy: 1.494 states/eV per atom
* formation energy from the elements: 0.151 eV per atom

The structure in POSCAR format:
```
SrY2Zn
1.0
4.922 0.000 0.000
0.000 4.922 0.000
0.000 0.000 4.999
Sr Y Zn
1 2 1
direct
0.000 0.000 0.000
0.000 0.500 0.500
0.500 0.000 0.500
0.500 0.500 0.000
```


[7]
A plane-wave DFT calculation with PBE was carried out for Na2PmZrSe4 after structural relaxation.

Calculated values
* symmetry: P2/m (10)
* formation energy from raw total energies: -141.4 kJ per mole of atoms
* volume: 201.47 Å³/cell
* DOS at the Fermi energy: 0.400 states/eV per atom

The structure in POSCAR format:
```
Na2PmZrSe4
1.0
7.044 0.000 0.000
0.000 4.028 0.000
-2.316 0.000 7.101
Na Pm Zr Se
2 1 1 4
direct
0.000 0.000 0.000
0.500 0.500 0.000
0.000 0.500 0.500
0.500 0.000 0.500
0.262 0.000 0.735
0.273 0.500 0.273
0.727 0.500 0.727
0.738 0.000 0.265
```


[8]
A plane-wave DFT calculation with PBE was carried out for TlFe4 after structural relaxation.

Calculated values
* symmetry: Pm-3m (221)
* volume: 111.26 Å³/cell
* DOS at the Fermi energy: 1.802 states/eV per atom
* ΔE to the lowest computed polymorph: 1.442 eV/atom
* formation energy from the elements: 2.009 eV per atom

The structure in POSCAR format:
```
TlFe4
1.0
4.810 0.000 0.000
0.000 4.810 0.000
0.000 0.000 4.810
Tl Fe
1 4
direct
0.000 0.000 0.000
0.000 0.000 0.500
0.000 0.500 0.000
0.500 0.000 0.000
0.500 0.500 0.500
```


[9]
A plane-wave DFT calculation with PBE was carried out for LiGdErHg after structural relaxation.

Calculated values
* symmetry: F-43m (216)
* volume: 101.08 Å³/cell
* DOS at the Fermi energy: 1.178 states/eV per atom
* formation energy from the elements: -0.216 eV per atom

The structure in POSCAR format:
```
LiGdErHg
1.0
0.000 3.697 3.697
3.697 0.000 3.697
3.697 3.697 0.000
Li Gd Er Hg
1 1 1 1
direct
0.000 0.000 0.000
0.250 0.250 0.250
0.750 0.750 0.750
0.500 0.500 0.500
```


[10]
A plane-wave DFT calculation with PBE was carried out for Rb3ErBi2Se6 after structural relaxation.

Calculated values
* symmetry: C2/m (12)
* formation energy from raw total energies: -106.4 kJ per mole of atoms
* volume: 387.02 Å³/cell
* DOS at the Fermi energy: 0.000 states/eV per atom

The structure in POSCAR format:
```
Rb3ErBi2Se6
1.0
3.737 -6.472 0.000
3.737 6.472 0.000
-2.490 0.000 8.001
Rb Er Bi Se
3 1 2 6
direct
0.000 0.000 0.000
0.330 0.670 0.000
0.670 0.330 0.000
0.500 0.500 0.500
0.166 0.834 0.500
0.834 0.166 0.500
0.110 0.434 0.301
0.243 0.243 0.700
0.434 0.110 0.301
0.566 0.890 0.699
0.757 0.757 0.300
0.890 0.566 0.699
```


[11]
A plane-wave DFT calculation with PBE was carried out for La2Zn5Ni5 after structural relaxation.

Calculated values
* symmetry: Pmmm (47)
* volume: 193.83 Å³/cell
* DOS at the Fermi energy: 0.797 states/eV per atom
* ΔE to the lowest computed polymorph: 0.033 eV/atom
* formation energy from the elements: -0.324 eV per atom

The structure in POSCAR format:
```
La2Zn5Ni5
1.0
4.012 0.000 0.000
0.000 5.283 0.000
0.000 0.000 9.146
La Zn Ni
2 5 5
direct
0.000 0.000 0.000
0.000 0.500 0.500
0.000 0.000 0.326
0.000 0.000 0.674
0.000 0.500 0.167
0.000 0.500 0.833
0.500 0.000 0.500
0.500 0.252 0.248
0.500 0.252 0.752
0.500 0.500 0.000
0.500 0.748 0.248
0.500 0.748 0.752
```


[12]
A plane-wave DFT calculation with PBE was carried out for MgGeIr after structural relaxation.

Calculated values
* symmetry: P-6m2 (187)
* volume: 49.18 Å³/cell
* DOS at the Fermi energy: 0.508 states/eV per atom
* formation energy from the elements: -0.362 eV per atom

The structure in POSCAR format:
```
MgGeIr
1.0
4.299 0.000 0.000
-2.149 3.723 0.000
0.000 0.000 3.073
Mg Ge Ir
1 1 1
direct
0.000 0.000 0.000
0.667 0.333 0.500
0.333 0.667 0.500
```


- Which value of DOS at the Fermi energy does entry 7 give?
  0.400 states/eV per atom


- volume of number 10 (Rb3ErBi2Se6)?
  387.02 Å³/cell


- Among the records above, which one has the lowest volume?
  MgGeIr